Entry 1:
La6NdYTm2 after structural relaxation, computed with GGA-PBE.

a = 9.306 Å, b = 15.490 Å, c = 9.869 Å
α = 90.00°, β = 98.61°, γ = 90.00°
Space group C2/c (No. 15)
Asymmetric unit:
La  0.066  0.174  0.448
La  0.099  0.394  0.622
La  0.215  0.224  0.810
Nd  0.000  0.408  0.250
Y  0.000  0.027  0.750
Tm  0.242  0.047  0.046


Entry 2:
Mg6Tl2Pt after structural relaxation, computed with GGA-PBE.

a = 7.9251 Å, b = 7.9251 Å, c = 3.6617 Å
α = 90.00°, β = 90.00°, γ = 120.00°
Space group P-62m (No. 189)
Asymmetric unit:
Mg  0.0000  0.2483  0.0000
Mg  0.0000  0.6357  0.5000
Tl  0.3333  0.6667  0.0000
Pt  0.0000  0.0000  0.5000


no.,energy (eV per cell),energy of formation from the pure elements (meV/atom)
1,-194.9,101
2,-23.0,-292